[1]
Below is a relaxed YBe2Re crystal, with properties calculated at the PBE-GGA level.

Geometry as POSCAR:
```
YBe2Re
1.0
-4.9893 0.6165 0.2182
-2.2560 -0.7716 -4.4313
2.8188 -2.1503 3.5710
Y Re Be
1 1 2
Cartesian
-1.5177 -1.4994 -1.4763 Y
-3.8881 -0.0832 -2.2608 Re
-6.9369 -0.1485 -4.0337 Be
-2.9519 -0.8068 0.8092 Be
```

Computed properties:
M_tot in μB/f.u.: 0.00
Energy relative to the elements in meV per atom: 392
Excess energy over the best structure of this formula in the dataset in meV/atom: 401

[2]
Below is a relaxed YBe2Re crystal, with properties calculated at the PBE-GGA level.

Geometry as POSCAR:
```
YBe2Re
1.0
4.2232 0.0000 0.0000
0.0000 4.2243 0.0000
0.0000 0.0000 3.2866
Y Re Be
1 1 2
Cartesian
0.0000 2.1122 1.6433 Y
2.1116 0.0000 1.6433 Re
0.0000 0.0000 0.0000 Be
2.1116 2.1122 0.0000 Be
```

Computed properties:
M_tot in μB/f.u.: 0.00
Energy relative to the elements in meV per atom: 415
Excess energy over the best structure of this formula in the dataset in meV/atom: 424

[3]
Below is a relaxed YBe2Re crystal, with properties calculated at the PBE-GGA level.

Geometry as POSCAR:
```
YBe2Re
1.0
-4.2713 -0.9213 1.3530
-0.1935 -1.0981 -4.4362
0.7590 -2.6236 0.6147
Y Re Be
1 1 2
Cartesian
0.2828 -1.8609 -1.9107 Y
-1.7561 -1.7724 0.9839 Re
0.0000 0.0000 0.0000 Be
-2.2324 -1.0097 -1.5416 Be
```

Computed properties:
M_tot in μB/f.u.: 0.00
Energy relative to the elements in meV per atom: 372
Excess energy over the best structure of this formula in the dataset in meV/atom: 381

What is the M_tot in the second record?
0.00 μB/f.u.